Record 1
The following is a DFT calculation (PBE-GGA) of a geometry-optimized Ti8Bi2Te structure.

Structure (POSCAR):
```
Ti8Bi2Te
1.0
-1.370 -2.784 3.783
2.068 -4.213 -2.351
7.460 3.345 2.000
Ti Te Bi
8 1 2
direct
0.765 0.663 0.531
0.047 0.263 0.094
0.588 0.529 0.176
0.953 0.737 0.906
0.235 0.337 0.469
0.412 0.471 0.824
0.328 0.892 0.657
0.672 0.108 0.343
0.500 0.000 0.000
0.148 0.793 0.297
0.852 0.207 0.703
```

- electronic total energy (eV/atom) = -6.892
- crystal system = monoclinic
- space-group type = C2/m, No. 12


Record 2
The following is a DFT calculation (PBE-GGA) of a geometry-optimized TiTl3Bi3Te8 structure.

Structure (POSCAR):
```
TiTl3Bi3Te8
1.0
-2.005 6.344 -5.880
4.255 -7.320 -2.650
-9.301 -0.851 2.255
Tl Bi Te Ti
3 3 8 1
direct
0.500 0.500 0.000
0.000 0.500 0.000
0.000 0.000 0.000
0.500 0.000 0.500
0.500 0.500 0.500
0.000 0.500 0.500
0.218 0.437 0.703
0.766 0.984 0.703
0.258 0.517 0.275
0.782 0.563 0.297
0.218 0.984 0.703
0.742 0.483 0.725
0.234 0.016 0.297
0.782 0.016 0.297
0.000 0.000 0.500
```

- electronic total energy (eV/atom) = -3.805
- crystal system = monoclinic
- space-group type = C2/m, No. 12


Record 3
The following is a DFT calculation (PBE-GGA) of a geometry-optimized TiTl3Bi2Te6 structure.

Structure (POSCAR):
```
TiTl3Bi2Te6
1.0
-5.400 -5.472 0.706
6.645 -1.584 -3.597
2.783 0.083 7.868
Tl Ti Te Bi
3 1 6 2
direct
0.825 0.175 0.500
0.175 0.825 0.500
0.500 0.500 0.500
0.000 0.000 0.000
0.766 0.766 0.211
0.626 0.931 0.793
0.931 0.626 0.793
0.374 0.069 0.207
0.069 0.374 0.207
0.234 0.234 0.789
0.335 0.665 0.000
0.665 0.335 0.000
```

- electronic total energy (eV/atom) = -3.834
- crystal system = monoclinic
- space-group type = C2/m, No. 12


Record 4
The following is a DFT calculation (PBE-GGA) of a geometry-optimized ZrTiBiTe structure.

Structure (POSCAR):
```
ZrTiBiTe
1.0
-1.174 4.152 2.574
0.304 0.016 5.015
3.609 2.641 2.289
Zr Ti Bi Te
1 1 1 1
direct
0.500 0.500 0.500
0.000 0.000 0.000
0.250 0.250 0.250
0.750 0.750 0.750
```

- electronic total energy (eV/atom) = -6.171
- crystal system = cubic
- space-group type = F-43m, No. 216


Record 5
The following is a DFT calculation (PBE-GGA) of a geometry-optimized Tl2BiTe4 structure.

Structure (POSCAR):
```
Tl2BiTe4
1.0
4.483 0.000 0.000
-2.241 7.755 0.000
0.000 0.000 14.304
Te Tl Bi
8 4 2
direct
0.221 0.442 0.850
0.046 0.091 0.250
0.779 0.558 0.350
0.500 0.000 0.500
0.500 0.000 0.000
0.954 0.909 0.750
0.221 0.442 0.650
0.779 0.558 0.150
0.867 0.734 0.555
0.133 0.266 0.445
0.133 0.266 0.055
0.867 0.734 0.945
0.410 0.821 0.250
0.590 0.179 0.750
```

- electronic total energy (eV/atom) = -3.119
- crystal system = orthorhombic
- space-group type = Cmcm, No. 63


Record 6
The following is a DFT calculation (PBE-GGA) of a geometry-optimized TlBi2Te structure.

Structure (POSCAR):
```
TlBi2Te
1.0
0.000 3.947 3.947
3.947 0.000 3.947
3.947 3.947 0.000
Tl Bi Te
1 2 1
direct
0.500 0.500 0.500
0.250 0.250 0.250
0.750 0.750 0.750
0.000 0.000 0.000
```

- polymorph energy (0 for the lowest one) (eV per formula unit) = 0.00
- crystal system = cubic
- space-group type = Fm-3m, No. 225